Compound: Hf2TiIF
Source: Alexandria via LeMat-Bulk
Functional: meta-GGA SCAN
Structure: single point on PBEsol structure

Properties
**DOS at the Fermi energy**: 3.05 states/eV/cell
**Energy relative to the elements, uncorrected**: -171 meV/atom
**Density**: 10.4 Mg/m³
**Uncorrected energy**: -36.5028 eV/atom

a b c (Å): 4.6575 4.6575 4.0543
angles (deg): 90.00 90.00 90.00
Space group P4/mmm (No. 123)
One atom of each set of equivalent atoms:
Hf 0.0000 0.5000 0.0000
Ti 0.0000 0.0000 0.5000
I 0.5000 0.5000 0.5000
F 0.0000 0.0000 0.0000



Compound: CaSc2Co
Source: Alexandria via LeMat-Bulk
Functional: meta-GGA SCAN
Structure: single point on PBEsol structure

Properties
**DOS at the Fermi energy**: 7.26 states/eV/cell
**E above lowest polymorph**: 0.0000 eV/atom
**Density**: 3.7 Mg/m³
**Uncorrected energy**: -13.7238 eV/atom

a b c (Å): 3.2995 4.8744 10.5273
angles (deg): 90.00 90.00 90.00
Space group Imm2 (No. 44)
One atom of each set of equivalent atoms:
Ca 0.0000 0.0000 0.0000
Sc 0.0000 0.0000 0.3803
Sc 0.0000 0.5000 0.1974
Co 0.0000 0.5000 0.7140



Compound: BaZnNi
Source: Alexandria via LeMat-Bulk
Functional: meta-GGA SCAN
Structure: single point on PBEsol structure

Properties
**DOS at the Fermi energy**: 1.20 states/eV/cell
**Density**: 6.1 Mg/m³
**Uncorrected energy**: -23.1196 eV/atom

a b c (Å): 4.2369 4.2369 4.5893
angles (deg): 90.00 90.00 120.00
Space group P-6m2 (No. 187)
One atom of each set of equivalent atoms:
Ba 0.0000 0.0000 0.0000
Zn 0.6667 0.3333 0.5000
Ni 0.3333 0.6667 0.5000



Compound: Ba2TeIr
Source: Alexandria via LeMat-Bulk
Functional: meta-GGA SCAN
Structure: single point on PBEsol structure

Properties
**DOS at the Fermi energy**: 7.60 states/eV/cell
**Energy relative to the elements, uncorrected**: -680 meV/atom
**Density**: 7.6 Mg/m³
**Uncorrected energy**: -47.5426 eV/atom

a b c (Å): 11.5444 4.7786 4.7131
angles (deg): 90.00 90.52 90.00
Space group Cm (No. 8)
One atom of each set of equivalent atoms:
Ba 0.0000 0.0000 0.0000
Ba 0.2138 0.5000 0.5055
Te 0.4140 0.0000 0.4961
Ir 0.3073 0.0000 0.9933



Compound: Mn4TeBr
Source: Alexandria via LeMat-Bulk
Functional: meta-GGA SCAN
Structure: single point on PBEsol structure

Properties
**DOS at the Fermi energy**: 16.92 states/eV/cell
**Energy relative to the elements, uncorrected**: 156 meV/atom
**Density**: 6.3 Mg/m³
**Uncorrected energy**: -21.4656 eV/atom

a b c (Å): 7.6737 7.6737 7.6737
angles (deg): 90.00 90.00 90.00
Space group F-43m (No. 216)
One atom of each set of equivalent atoms:
Mn 0.1244 0.1244 0.1244
Te 0.2500 0.2500 0.7500
Br 0.0000 0.0000 0.5000



Compound: Na2SnCl2
Source: Alexandria via LeMat-Bulk
Functional: meta-GGA SCAN
Structure: single point on PBEsol structure

Properties
**DOS at the Fermi energy**: 2.05 states/eV/cell
**Energy relative to the elements, uncorrected**: -930 meV/atom
**Density**: 2.7 Mg/m³
**Uncorrected energy**: -12.9914 eV/atom

a b c (Å): 4.7643 4.7643 12.7012
angles (deg): 90.00 90.00 90.00
Space group I4/mmm (No. 139)
One atom of each set of equivalent atoms:
Na 0.0000 0.5000 0.2500
Sn 0.0000 0.0000 0.0000
Cl 0.0000 0.0000 0.3458



Compound: AlBI2O
Source: Alexandria via LeMat-Bulk
Functional: meta-GGA SCAN
Structure: single point on PBEsol structure

Properties
**DOS at the Fermi energy**: 1.44 states/eV/cell
**Energy relative to the elements, uncorrected**: 119 meV/atom
**Density**: 4.8 Mg/m³
**Uncorrected energy**: -18.8600 eV/atom

a b c (Å): 6.0968 6.0968 2.8874
angles (deg): 90.00 90.00 90.00
Space group P4/mmm (No. 123)
One atom of each set of equivalent atoms:
Al 0.0000 0.0000 0.0000
B 0.5000 0.5000 0.5000
I 0.0000 0.5000 0.5000
O 0.5000 0.5000 0.0000



Compound: YSbPb2O6
Source: Alexandria via LeMat-Bulk
Functional: meta-GGA SCAN
Structure: single point on PBEsol structure

Properties
**DOS at the Fermi energy**: 0.00 states/eV/cell
**E above lowest polymorph**: 0.0092 eV/atom
**Energy relative to the elements, uncorrected**: -2043 meV/atom
**Density**: 8.4 Mg/m³
**Uncorrected energy**: -27.4478 eV/atom

a b c (Å): 10.0167 5.8355 5.9267
angles (deg): 90.00 124.93 90.00
Space group C2/m (No. 12)
One atom of each set of equivalent atoms:
Y 0.0000 0.0000 0.0000
Sb 0.0000 0.5000 0.5000
Pb 0.2459 0.0000 0.7249
O 0.0484 0.2594 0.3149
O 0.2346 0.5000 0.8111



Compound: Li2CrP2O8
Source: Alexandria via LeMat-Bulk
Functional: meta-GGA SCAN
Structure: single point on PBEsol structure

Properties
**DOS at the Fermi energy**: 2.44 states/eV/cell
**Energy relative to the elements, uncorrected**: -2426 meV/atom
**Density**: 3.0 Mg/m³
**Uncorrected energy**: -9.6421 eV/atom

a b c (Å): 4.7932 4.7932 7.1185
angles (deg): 90.00 90.00 120.00
Space group P-3 (No. 147)
One atom of each set of equivalent atoms:
Li 0.3333 0.6667 0.1949
Cr 0.0000 0.0000 0.5000
P 0.3333 0.6667 0.7289
O 0.0423 0.3458 0.6536
O 0.3333 0.6667 0.9378



Compound: MgTlIn2
Source: Alexandria via LeMat-Bulk
Functional: meta-GGA SCAN
Structure: single point on PBEsol structure

Properties
**DOS at the Fermi energy**: 2.59 states/eV/cell
**Density**: 7.7 Mg/m³
**Uncorrected energy**: -36.0611 eV/atom

a b c (Å): 6.4072 9.3316 3.3163
angles (deg): 90.00 90.00 90.00
Space group Cmmm (No. 65)
One atom of each set of equivalent atoms:
Mg 0.0000 0.0000 0.0000
Tl 0.0000 0.5000 0.0000
In 0.2500 0.2500 0.5000



Compound: MgFeW2
Source: Alexandria via LeMat-Bulk
Functional: meta-GGA SCAN
Structure: single point on PBEsol structure

Properties
**DOS at the Fermi energy**: 17.37 states/eV/cell
**Density**: 12.7 Mg/m³
**Uncorrected energy**: -40.1591 eV/atom

a b c (Å): 6.1700 6.1700 6.1700
angles (deg): 90.00 90.00 90.00
Space group F-43m (No. 216)
One atom of each set of equivalent atoms:
Mg 0.0000 0.0000 0.0000
Fe 0.2500 0.2500 0.7500
W 0.0000 0.0000 0.5000
W 0.2500 0.2500 0.2500



Compound: Ba3CrSi
Source: Alexandria via LeMat-Bulk
Functional: meta-GGA SCAN
Structure: single point on PBEsol structure

Properties
**DOS at the Fermi energy**: 3.49 states/eV/cell
**Energy relative to the elements, uncorrected**: 663 meV/atom
**Density**: 4.2 Mg/m³
**Uncorrected energy**: -28.7475 eV/atom

a b c (Å): 5.7716 5.7716 5.7716
angles (deg): 90.00 90.00 90.00
Space group Pm-3m (No. 221)
One atom of each set of equivalent atoms:
Ba 0.0000 0.0000 0.5000
Cr 0.0000 0.0000 0.0000
Si 0.5000 0.5000 0.5000